P) # Ti2SeBr, optimized geometry, DFT GGA-PBE
data_Ti2SeBr
_cell_length_a 6.166
_cell_length_b 6.166
_cell_length_c 10.741
_cell_angle_alpha 90.00
_cell_angle_beta 90.00
_cell_angle_gamma 90.00
_symmetry_space_group_name_H-M 'I -4 2 d'
_symmetry_Int_Tables_number 122
_symmetry_space_group_name_Hall 'I -4 2bw'
loop_
_atom_site_label
_atom_site_fract_x
_atom_site_fract_y
_atom_site_fract_z
Ti1 0.239 0.250 0.125
Se1 0.000 0.000 0.000
Br1 0.000 0.000 0.500
# Magnetization = 0.991 μB/atom

=====

Q) # Ti2SeBr, optimized geometry, DFT GGA-PBE
data_Ti2SeBr
_cell_length_a 6.476
_cell_length_b 6.476
_cell_length_c 6.476
_cell_angle_alpha 90.00
_cell_angle_beta 90.00
_cell_angle_gamma 90.00
_symmetry_space_group_name_H-M 'F m -3 m'
_symmetry_Int_Tables_number 225
_symmetry_space_group_name_Hall '-F 4 2 3'
loop_
_atom_site_label
_atom_site_fract_x
_atom_site_fract_y
_atom_site_fract_z
Ti1 0.250 0.250 0.250
Se1 0.000 0.000 0.000
Br1 0.000 0.000 0.500
# Magnetization = 0.229 μB/atom

=====

Which one sits at the bottom of the stability order? P) does.

=====

P) # TiWSe2Br, optimized geometry, DFT GGA-PBE
data_TiWSe2Br
_cell_length_a 5.028
_cell_length_b 5.028
_cell_length_c 4.853
_cell_angle_alpha 90.00
_cell_angle_beta 90.00
_cell_angle_gamma 90.00
_symmetry_space_group_name_H-M 'P 4/m m m'
_symmetry_Int_Tables_number 123
_symmetry_space_group_name_Hall '-P 4 2'
loop_
_atom_site_label
_atom_site_fract_x
_atom_site_fract_y
_atom_site_fract_z
Ti1 0.000 0.000 0.000
W1 0.500 0.500 0.500
Se1 0.000 0.500 0.000
Br1 0.000 0.000 0.500
# Magnetization = 0.984 μB/atom

=====

Q) # TiWSe2Br, optimized geometry, DFT GGA-PBE
data_TiWSe2Br
_cell_length_a 4.880
_cell_length_b 4.880
_cell_length_c 5.229
_cell_angle_alpha 90.00
_cell_angle_beta 90.00
_cell_angle_gamma 90.00
_symmetry_space_group_name_H-M 'P 4/m m m'
_symmetry_Int_Tables_number 123
_symmetry_space_group_name_Hall '-P 4 2'
loop_
_atom_site_label
_atom_site_fract_x
_atom_site_fract_y
_atom_site_fract_z
Ti1 0.000 0.000 0.000
W1 0.500 0.500 0.500
Se1 0.000 0.500 0.500
Br1 0.500 0.500 0.000
# Magnetization = 0.030 μB/atom

=====

Which one sits at the bottom of the stability order? Q) does.

=====

P) # YTiSe2Br, optimized geometry, DFT GGA-PBE
data_YTiSe2Br
_cell_length_a 5.474
_cell_length_b 5.474
_cell_length_c 5.358
_cell_angle_alpha 90.00
_cell_angle_beta 90.00
_cell_angle_gamma 90.00
_symmetry_space_group_name_H-M 'P 4/m m m'
_symmetry_Int_Tables_number 123
_symmetry_space_group_name_Hall '-P 4 2'
loop_
_atom_site_label
_atom_site_fract_x
_atom_site_fract_y
_atom_site_fract_z
Y1 0.000 0.000 0.000
Ti1 0.500 0.500 0.500
Se1 0.000 0.500 0.000
Br1 0.000 0.000 0.500
# Magnetization = 0.080 μB/atom

=====

Q) # YTiSe2Br, optimized geometry, DFT GGA-PBE
data_YTiSe2Br
_cell_length_a 5.019
_cell_length_b 5.019
_cell_length_c 4.878
_cell_angle_alpha 90.00
_cell_angle_beta 90.00
_cell_angle_gamma 90.00
_symmetry_space_group_name_H-M 'P 4/m m m'
_symmetry_Int_Tables_number 123
_symmetry_space_group_name_Hall '-P 4 2'
loop_
_atom_site_label
_atom_site_fract_x
_atom_site_fract_y
_atom_site_fract_z
Y1 0.000 0.000 0.000
Ti1 0.500 0.500 0.500
Se1 0.000 0.500 0.500
Br1 0.500 0.500 0.000
# Magnetization = 0.090 μB/atom

=====

Which one sits at the bottom of the stability order? P) does.

=====

P) # TlSe2Br2, optimized geometry, DFT GGA-PBE
data_TlSe2Br2
_cell_length_a 3.731
_cell_length_b 3.731
_cell_length_c 22.852
_cell_angle_alpha 90.00
_cell_angle_beta 90.00
_cell_angle_gamma 90.00
_symmetry_space_group_name_H-M 'I 4/m m m'
_symmetry_Int_Tables_number 139
_symmetry_space_group_name_Hall '-I 4 2'
loop_
_atom_site_label
_atom_site_fract_x
_atom_site_fract_y
_atom_site_fract_z
Tl1 0.000 0.000 0.000
Se1 0.000 0.500 0.250
Br1 0.000 0.000 0.420
# Magnetization = 0.000 μB/atom

=====

Q) # TlSe2Br2, optimized geometry, DFT GGA-PBE
data_TlSe2Br2
_cell_length_a 8.584
_cell_length_b 8.584
_cell_length_c 4.618
_cell_angle_alpha 90.00
_cell_angle_beta 90.00
_cell_angle_gamma 90.00
_symmetry_space_group_name_H-M 'P 4/m b m'
_symmetry_Int_Tables_number 127
_symmetry_space_group_name_Hall '-P 4 2ab'
loop_
_atom_site_label
_atom_site_fract_x
_atom_site_fract_y
_atom_site_fract_z
Tl1 0.000 0.000 0.000
Se1 0.090 0.410 0.000
Br1 0.246 0.746 0.500
# Magnetization = 0.183 μB/atom

=====

Which one sits at the bottom of the stability order? Q) does.

=====

P) # Tl2SeBr5, optimized geometry, DFT GGA-PBE
data_Tl2SeBr5
_cell_length_a 7.345
_cell_length_b 7.454
_cell_length_c 7.510
_cell_angle_alpha 101.47
_cell_angle_beta 112.49
_cell_angle_gamma 112.93
_symmetry_space_group_name_H-M 'P 1'
_symmetry_Int_Tables_number 1
loop_
_symmetry_equiv_pos_as_xyz
'x,y,z'
loop_
_atom_site_label
_atom_site_fract_x
_atom_site_fract_y
_atom_site_fract_z
Tl1 0.000 0.000 0.000
Tl2 0.002 0.403 0.602
Se1 0.399 0.653 0.250
Br1 0.364 0.323 0.919
Br2 0.398 0.429 0.475
Br3 0.408 0.887 0.037
Br4 0.843 0.877 0.476
Br5 0.953 0.453 0.050
# Magnetization = 0.127 μB/atom

=====

Q) # Tl2SeBr5, optimized geometry, DFT GGA-PBE
data_Tl2SeBr5
_cell_length_a 10.767
_cell_length_b 10.793
_cell_length_c 5.749
_cell_angle_alpha 90.00
_cell_angle_beta 102.05
_cell_angle_gamma 90.00
_symmetry_space_group_name_H-M 'C 1 m 1'
_symmetry_Int_Tables_number 8
loop_
_symmetry_equiv_pos_as_xyz
'x,y,z'
'x,-y,z'
'x+1/2,y+1/2,z'
'x+1/2,-y+1/2,z'
loop_
_atom_site_label
_atom_site_fract_x
_atom_site_fract_y
_atom_site_fract_z
Tl1 0.000 0.222 0.000
Se1 0.214 0.000 0.645
Br1 0.207 0.242 0.642
Br2 0.217 0.000 0.146
Br3 0.460 0.000 0.730
Br4 0.464 0.500 0.562
# Magnetization = 0.000 μB/atom

=====

Which one sits at the bottom of the stability order? P) does.

=====

P) # Tl4Se2Br, optimized geometry, DFT GGA-PBE
data_Tl4Se2Br
_cell_length_a 8.421
_cell_length_b 8.464
_cell_length_c 8.617
_cell_angle_alpha 103.26
_cell_angle_beta 108.37
_cell_angle_gamma 114.57
_symmetry_space_group_name_H-M 'P 1'
_symmetry_Int_Tables_number 1
loop_
_symmetry_equiv_pos_as_xyz
'x,y,z'
loop_
_atom_site_label
_atom_site_fract_x
_atom_site_fract_y
_atom_site_fract_z
Tl1 0.000 0.000 0.000
Tl2 0.004 0.423 0.463
Tl3 0.136 0.076 0.622
Tl4 0.251 0.568 0.011
Tl5 0.495 0.943 0.876
Tl6 0.580 0.280 0.570
Tl7 0.606 0.715 0.493
Tl8 0.756 0.561 0.047
Se1 0.408 0.520 0.705
Se2 0.844 0.975 0.225
Se3 0.871 0.159 0.793
Se4 0.983 0.698 0.791
Br1 0.234 0.778 0.383
Br2 0.423 0.268 0.170
# Magnetization = 0.000 μB/atom

=====

Q) # Tl4Se2Br, optimized geometry, DFT GGA-PBE
data_Tl4Se2Br
_cell_length_a 8.720
_cell_length_b 8.975
_cell_length_c 13.483
_cell_angle_alpha 90.00
_cell_angle_beta 90.00
_cell_angle_gamma 90.00
_symmetry_space_group_name_H-M 'I m m a'
_symmetry_Int_Tables_number 74
_symmetry_space_group_name_Hall '-I 2b 2'
loop_
_atom_site_label
_atom_site_fract_x
_atom_site_fract_y
_atom_site_fract_z
Tl1 0.000 0.022 0.220
Tl2 0.249 0.250 0.495
Se1 0.000 0.000 0.000
Se2 0.250 0.250 0.250
Br1 0.250 0.250 0.750
# Magnetization = 0.000 μB/atom

=====

Which one sits at the bottom of the stability order? Q) does.

=====

P) # TlSeBr3, optimized geometry, DFT GGA-PBE
data_TlSeBr3
_cell_length_a 4.871
_cell_length_b 9.179
_cell_length_c 9.186
_cell_angle_alpha 78.04
_cell_angle_beta 81.77
_cell_angle_gamma 82.10
_symmetry_space_group_name_H-M 'P -1'
_symmetry_Int_Tables_number 2
loop_
_symmetry_equiv_pos_as_xyz
'x,y,z'
'-x,-y,-z'
loop_
_atom_site_label
_atom_site_fract_x
_atom_site_fract_y
_atom_site_fract_z
Tl1 0.041 0.205 0.204
Se1 0.499 0.679 0.321
Br1 0.429 0.701 0.054
Br2 0.433 0.053 0.701
Br3 0.439 0.374 0.374
# Magnetization = 0.000 μB/atom

=====

Q) # TlSeBr3, optimized geometry, DFT GGA-PBE
data_TlSeBr3
_cell_length_a 5.673
_cell_length_b 5.673
_cell_length_c 5.673
_cell_angle_alpha 90.00
_cell_angle_beta 90.00
_cell_angle_gamma 90.00
_symmetry_space_group_name_H-M 'P m -3 m'
_symmetry_Int_Tables_number 221
_symmetry_space_group_name_Hall '-P 4 2 3'
loop_
_atom_site_label
_atom_site_fract_x
_atom_site_fract_y
_atom_site_fract_z
Tl1 0.000 0.000 0.000
Se1 0.500 0.500 0.500
Br1 0.000 0.000 0.500
# Magnetization = 0.515 μB/atom

=====

Which one sits at the bottom of the stability order? Q) does.

=====

P) # TlSeBr3, optimized geometry, DFT GGA-PBE
data_TlSeBr3
_cell_length_a 5.485
_cell_length_b 5.485
_cell_length_c 5.485
_cell_angle_alpha 90.00
_cell_angle_beta 90.00
_cell_angle_gamma 90.00
_symmetry_space_group_name_H-M 'P m -3 m'
_symmetry_Int_Tables_number 221
_symmetry_space_group_name_Hall '-P 4 2 3'
loop_
_atom_site_label
_atom_site_fract_x
_atom_site_fract_y
_atom_site_fract_z
Tl1 0.000 0.000 0.000
Se1 0.500 0.500 0.500
Br1 0.000 0.500 0.500
# Magnetization = 0.000 μB/atom

=====

Q) # TlSeBr3, optimized geometry, DFT GGA-PBE
data_TlSeBr3
_cell_length_a 13.079
_cell_length_b 4.891
_cell_length_c 17.602
_cell_angle_alpha 90.00
_cell_angle_beta 131.91
_cell_angle_gamma 90.00
_symmetry_space_group_name_H-M 'P 1 21/c 1'
_symmetry_Int_Tables_number 14
loop_
_symmetry_equiv_pos_as_xyz
'x,y,z'
'-x,-y,-z'
'-x,y+1/2,-z+1/2'
'x,-y+1/2,z+1/2'
loop_
_atom_site_label
_atom_site_fract_x
_atom_site_fract_y
_atom_site_fract_z
Tl1 0.198 0.244 0.071
Se1 0.416 0.003 0.907
Br1 0.026 0.729 0.913
Br2 0.235 0.644 0.402
Br3 0.371 0.727 0.763
# Magnetization = 0.000 μB/atom

=====

Which one sits at the bottom of the stability order? P) does.